A plane-wave DFT calculation with PBE was carried out for a relaxed Pm2PuAlN5 crystal.

Summary:
E_form (uncorrected)	-1.155	eV per atom

Cell: 3.408 7.108 10.335 Å, 90.00 90.00 103.87°
Each line ends with the local moment (μB).
Atoms (fractional coordinates):
Pu (0.787, 0.574, 0.510)  2.66
N (0.497, 0.995, 0.786)  -0.03
Pm (0.106, 0.212, 0.698)  0.00
N (0.369, 0.738, 0.004)  -0.11
Pm (0.873, 0.746, 0.799)  0.01
N (0.055, 0.110, 0.035)  -0.09
Pm (0.894, 0.788, 0.198)  0.00
Al (0.485, 0.971, 0.468)  0.00
Al (0.515, 0.029, 0.968)  0.00
N (0.945, 0.890, 0.535)  -0.09
N (0.718, 0.435, 0.142)  -0.15
Pu (0.213, 0.426, 0.010)  2.66
N (0.631, 0.262, 0.504)  -0.11
N (0.301, 0.602, 0.381)  -0.16
N (0.282, 0.565, 0.642)  -0.15
Pm (0.127, 0.254, 0.299)  0.01
N (0.699, 0.398, 0.881)  -0.16
N (0.503, 0.005, 0.286)  -0.03